! LiEr (PBE, optimized geometry); values from VASP
! Crystal system ... cubic
&SYSTEM
  ibrav = 0, nat = 2, ntyp = 2
/
ATOMIC_SPECIES
Li 6.94 Li.upf
Er 167.26 Er.upf
CELL_PARAMETERS angstrom
3.642 0.000 0.000
0.000 3.642 0.000
0.000 0.000 3.642
ATOMIC_POSITIONS crystal
Li 0.000 0.000 0.000
Er 0.500 0.500 0.500

=====

! LiEr (PBE, optimized geometry); values from VASP
! Crystal system ... cubic
&SYSTEM
  ibrav = 0, nat = 2, ntyp = 2
/
ATOMIC_SPECIES
Li 6.94 Li.upf
Er 167.26 Er.upf
CELL_PARAMETERS angstrom
0.000 3.216 3.216
3.216 0.000 3.216
3.216 3.216 0.000
ATOMIC_POSITIONS crystal
Li 0.000 0.000 0.000
Er 0.250 0.250 0.250

=====

| no. | DFT total energy (eV per atom) |
| --- | --- |
| 1 | -3.075 |
| 2 | -1.943 |